1.
Compound: PrTlTe3As
Source: OQMD via LeMat-Bulk
Functional: PBE
Structure: relaxed

total magnetic moment	0.0	μB/f.u.
uncorrected energy	-24.4	eV/f.u.

Lattice parameters (Å, degrees): 8.6358 8.6358 10.7820 90.00 90.00 149.60
Sites, in units of the cell vectors:
Pr  0.0000  0.0000  0.0000
Pr  0.0000  0.0000  0.5000
Tl  0.2488  0.7512  0.7500
Tl  0.7512  0.2488  0.2500
Te  0.1103  0.8897  0.2500
Te  0.3646  0.6354  0.0507
Te  0.3646  0.6354  0.4493
Te  0.6354  0.3646  0.5507
Te  0.6354  0.3646  0.9493
Te  0.8897  0.1103  0.7500
As  0.4605  0.5395  0.2500
As  0.5395  0.4605  0.7500

2.
Compound: Ac2Zn6Si3
Source: OQMD via LeMat-Bulk
Functional: PBE
Structure: relaxed

total magnetic moment	0.0	μB/f.u.
uncorrected energy	-36.1	eV/f.u.

Lattice parameters (Å, degrees): 7.7346 7.7346 4.2085 90.00 90.00 120.00
Sites, in units of the cell vectors:
Ac  0.3333  0.6667  0.0000
Ac  0.6667  0.3333  0.0000
Zn  0.0000  0.2967  0.5000
Zn  0.0000  0.8118  0.0000
Zn  0.1882  0.1882  0.0000
Zn  0.2967  0.0000  0.5000
Zn  0.7033  0.7033  0.5000
Zn  0.8118  0.0000  0.0000
Si  0.0000  0.6331  0.5000
Si  0.3669  0.3669  0.5000
Si  0.6331  0.0000  0.5000

3.
Compound: KLiZrTe3
Source: OQMD via LeMat-Bulk
Functional: PBE
Structure: relaxed

total magnetic moment	0.0	μB/f.u.
uncorrected energy	-26.9	eV/f.u.

Lattice parameters (Å, degrees): 9.3768 4.2426 10.2187 90.00 108.73 90.00
Sites, in units of the cell vectors:
K  0.2167  0.2500  0.2616
K  0.7833  0.7500  0.7384
Li  0.0776  0.2500  0.6025
Li  0.9224  0.7500  0.3975
Zr  0.3171  0.7500  0.8408
Zr  0.6829  0.2500  0.1592
Te  0.1173  0.2500  0.8787
Te  0.2321  0.7500  0.5481
Te  0.4595  0.7500  0.1498
Te  0.5405  0.2500  0.8502
Te  0.7679  0.2500  0.4519
Te  0.8827  0.7500  0.1213